# HfCdN3 PBE optimized geometry
data_HfCdN3
_space_group_name_H-M_alt 'P 1'
_space_group_IT_number 1
_space_group_name_Hall 'P 1'
_cell_length_a 3.986
_cell_length_b 3.986
_cell_length_c 3.986
_cell_angle_alpha 90.00
_cell_angle_beta 90.00
_cell_angle_gamma 90.00
loop_
_atom_site_label
_atom_site_type_symbol
_atom_site_fract_x
_atom_site_fract_y
_atom_site_fract_z
Hf1 Hf 0.000 0.000 0.000
Cd1 Cd 0.500 0.500 0.500
N1 N 0.000 0.500 0.500
N2 N 0.500 0.000 0.500
N3 N 0.500 0.500 0.000
# raw formation energy: 1.535 eV/atom
# total magnetization: 0.00 μB per formula unit